DFT (GGA-PBE) results for a relaxed Nd3Dy5Ag12 crystal.

a b c (Å): 17.0200 17.0200 17.0200
angles (deg): 90.00 90.00 90.00
Closest atoms and distances in Å follow each position.
Space group Ia-3d (No. 230)
Symmetry-distinct sites (fractional):
Nd  0.0000  0.2500  0.1250 (multiplicity 24)  8 Ag 2.99-3.03
Dy  0.0000  0.0000  0.0000 (multiplicity 16)  6 Ag 2.92
Dy  0.0000  0.2500  0.3750 (multiplicity 24)  4 Ag 2.94
Ag  0.0038  0.0764  0.6534 (multiplicity 96)  2 Dy 2.92-2.94, 1 Ag 2.93, 2 Nd 2.99-3.03

## Properties
energy of formation = 236 meV per atom
uncorrected energy = -66.8 eV/f.u.
magnetic moment = 0.00 μB per cell

***

DFT (GGA-PBE) results for a relaxed CeScAs2 crystal.

a b c (Å): 4.0439 4.0439 20.4410
angles (deg): 90.00 90.00 120.00
Closest atoms and distances in Å follow each position.
Space group R3m (No. 160, hexagonal axes)
Symmetry-distinct sites (fractional):
Ce  0.0000  0.0000  0.0000 (multiplicity 3)  6 As 2.92-2.99
Sc  0.0000  0.0000  0.8271 (multiplicity 3)  6 As 2.79-2.87
As  0.0000  0.0000  0.4190 (multiplicity 3)  3 Sc 2.79, 3 Ce 2.92
As  0.0000  0.0000  0.5755 (multiplicity 3)  3 Sc 2.87, 3 Ce 2.99, 1 As 3.20

## Properties
energy of formation = -1227 meV per atom
uncorrected energy = -26.5 eV/f.u.
energy above the lowest structure with this stoichiometry = 159.3 meV/atom
magnetic moment = 2.28 μB per cell

***

DFT (GGA-PBE) results for a relaxed Na3Sb3Pd2 crystal.

a b c (Å): 8.5485 15.7298 5.9911
angles (deg): 90.00 90.00 90.00
Closest atoms and distances in Å follow each position.
Space group Pnma (No. 62)
Symmetry-distinct sites (fractional):
Na  0.0364  0.1179  0.1051 (multiplicity 8)  3 Pd 3.20-3.39, 6 Sb 3.20-3.55
Na  0.1915  0.2500  0.6053 (multiplicity 4)  5 Sb 3.22-3.38, 4 Pd 3.35-3.38
Sb  0.1597  0.7500  0.5991 (multiplicity 4)  2 Pd 2.64
Sb  0.1864  0.0351  0.6268 (multiplicity 8)  3 Pd 2.67-2.73
Pd  0.0970  0.6058  0.3934 (multiplicity 8)  4 Sb 2.64-2.73

## Properties
uncorrected energy = -29.7 eV/f.u.
energy above the lowest structure with this stoichiometry = 45.2 meV/atom
energy relative to the elements, uncorrected = -36 kJ/mol of atoms
magnetic moment = 0.00 μB per cell

***

DFT (GGA-PBE) results for a relaxed LiLaScSe3 crystal.

a b c (Å): 8.1815 4.0056 8.8511
angles (deg): 90.00 105.04 90.00
Closest atoms and distances in Å follow each position.
Space group P2_1/m (No. 11)
Symmetry-distinct sites (fractional):
Li  0.0918  0.2500  0.0903 (multiplicity 2)  4 Se 2.46-2.57, 2 Li 2.75
La  0.1978  0.2500  0.7344 (multiplicity 2)  7 Se 3.02-3.14
Sc  0.3325  0.7500  0.3468 (multiplicity 2)  6 Se 2.73-2.85
Se  0.1030  0.2500  0.3708 (multiplicity 2)  1 Li 2.46
Se  0.2322  0.7500  0.0140 (multiplicity 2)  3 Li 2.49-2.57
Se  0.4458  0.7500  0.6675 (multiplicity 2)  3 Sc 2.73-2.75, 2 La 3.02

## Properties
uncorrected energy = -33.7 eV/f.u.
energy relative to the elements, uncorrected = -162 kJ/mol of atoms
magnetic moment = 0.00 μB per cell

***

DFT (GGA-PBE) results for a relaxed Ce2Pr2Ge3 crystal.

a b c (Å): 13.9042 4.2754 7.4144
angles (deg): 90.00 99.50 90.00
Closest atoms and distances in Å follow each position.
Space group C2/m (No. 12)
Symmetry-distinct sites (fractional):
Ce  0.1266  0.0000  0.3832 (multiplicity 4)  5 Ge 2.97-2.99
Pr  0.1279  0.5000  0.8723 (multiplicity 4)  4 Ge 3.01-3.03
Ge  0.0000  0.5000  0.5000 (multiplicity 2)  4 Ce 2.99, 2 Pr 3.03
Ge  0.2463  0.5000  0.2533 (multiplicity 4)  3 Ce 2.97, 3 Pr 3.01-3.03

## Properties
energy of formation = -547 meV per atom
uncorrected energy = -39.1 eV/f.u.
magnetic moment = 3.55 μB per cell

***

DFT (GGA-PBE) results for a relaxed PaInTcRu crystal.

a b c (Å): 6.6850 6.6850 6.6850
angles (deg): 90.00 90.00 90.00
Closest atoms and distances in Å follow each position.
Space group F-43m (No. 216)
Symmetry-distinct sites (fractional):
Pa  0.0000  0.0000  0.0000 (multiplicity 4)  4 Tc 2.89, 4 Ru 2.89
In  0.0000  0.0000  0.5000 (multiplicity 4)  4 Ru 2.89, 4 Tc 2.89
Tc  0.2500  0.2500  0.7500 (multiplicity 4)  4 In 2.89, 4 Pa 2.89
Ru  0.2500  0.2500  0.2500 (multiplicity 4)  4 In 2.89, 4 Pa 2.89

## Properties
energy of formation = -242 meV per atom
uncorrected energy = -32.8 eV/f.u.
energy above the lowest structure with this stoichiometry = 84.8 meV/atom
magnetic moment = 0.00 μB per cell

***

DFT (GGA-PBE) results for a relaxed Cs2UPt2S4 crystal.

a b c (Å): 15.0316 3.9066 8.3673
angles (deg): 90.00 108.09 90.00
Closest atoms and distances in Å follow each position.
Space group C2/m (No. 12)
Symmetry-distinct sites (fractional):
Cs  0.1347  0.0000  0.0711 (multiplicity 4)  7 S 3.48-3.78, 1 Pt 3.52, 1 Cs 3.85
U  0.0000  0.0000  0.5000 (multiplicity 2)  6 S 2.64-2.69
Pt  0.1912  0.5000  0.5335 (multiplicity 4)  2 S 2.34
S  0.0228  0.5000  0.2956 (multiplicity 4)  2 U 2.69, 1 Pt 2.69
S  0.1788  0.0000  0.6780 (multiplicity 4)  2 Pt 2.34

## Properties
uncorrected energy = -50.2 eV/f.u.
energy relative to the elements, uncorrected = -92 kJ/mol of atoms
magnetic moment = 1.55 μB per cell

***

DFT (GGA-PBE) results for a relaxed Na2TlBiSe crystal.

a b c (Å): 5.7364 5.7364 5.7353
angles (deg): 90.00 90.00 90.00
Closest atoms and distances in Å follow each position.
Space group P4/mmm (No. 123)
Symmetry-distinct sites (fractional):
Na  0.0000  0.5000  0.0000 (multiplicity 2)  2 Tl 2.87
Tl  0.0000  0.0000  0.0000 (multiplicity 1)  2 Bi 2.87, 4 Na 2.87
Bi  0.0000  0.0000  0.5000 (multiplicity 1)  2 Tl 2.87
Se  0.5000  0.5000  0.5000 (multiplicity 1)  8 Na 4.06, 4 Bi 4.06

## Properties
uncorrected energy = -11.0 eV/f.u.
energy relative to the elements, uncorrected = 26 kJ/mol of atoms
magnetic moment = 0.00 μB per cell

***

DFT (GGA-PBE) results for a relaxed KMgBeSe crystal.

a b c (Å): 4.3037 4.9002 6.5525
angles (deg): 90.00 109.07 90.00
Closest atoms and distances in Å follow each position.
Space group Pm (No. 6)
Symmetry-distinct sites (fractional):
K  0.0000  0.0000  0.0000 (multiplicity 1)  4 Se 3.28
Mg  0.2576  0.5000  0.5248 (multiplicity 1)  1 Se 2.59, 2 Be 2.64
Be  0.6348  0.5000  0.2771 (multiplicity 1)  1 Se 2.07
Se  0.4718  0.5000  0.9424 (multiplicity 1)  1 Be 2.07

## Properties
uncorrected energy = -10.6 eV/f.u.
energy above the lowest structure with this stoichiometry = 109.2 meV/atom
energy relative to the elements, uncorrected = -16 kJ/mol of atoms
magnetic moment = 0.00 μB per cell

***

DFT (GGA-PBE) results for a relaxed Sr8Ga2Sn crystal.

a b c (Å): 5.5023 9.1102 16.7632
angles (deg): 90.00 90.00 90.00
Closest atoms and distances in Å follow each position.
Space group Immm (No. 71)
Symmetry-distinct sites (fractional):
Sr  0.0000  0.0000  0.1422 (multiplicity 4)  2 Sn 3.64, 8 Sr 3.71-3.81, 2 Ga 3.98
Sr  0.0000  0.2155  0.3372 (multiplicity 8)  3 Ga 3.40-3.62, 1 Sn 3.76, 2 Sr 3.80
Sr  0.0000  0.3115  0.0000 (multiplicity 4)  3 Sr 3.43-3.71, 2 Ga 3.56
Ga  0.0000  0.5000  0.1862 (multiplicity 4)  8 Sr 3.40-3.62
Sn  0.0000  0.5000  0.5000 (multiplicity 2)  12 Sr 3.64-3.95

## Properties
energy of formation = -221 meV per atom
uncorrected energy = -25.9 eV/f.u.
energy above the lowest structure with this stoichiometry = 69.4 meV/atom
magnetic moment = 0.76 μB per cell

***

DFT (GGA-PBE) results for a relaxed NbSnPd crystal.

a b c (Å): 3.0887 3.0887 11.5354
angles (deg): 90.00 90.00 90.00
Closest atoms and distances in Å follow each position.
Space group I4mm (No. 107)
Symmetry-distinct sites (fractional):
Nb  0.0000  0.0000  0.0000 (multiplicity 2)  4 Pd 2.82, 4 Sn 3.03, 4 Nb 3.09
Sn  0.0000  0.0000  0.3173 (multiplicity 2)  4 Pd 2.88, 4 Nb 3.03, 4 Sn 3.09
Pd  0.0000  0.0000  0.6549 (multiplicity 2)  4 Nb 2.82, 4 Sn 2.88, 4 Pd 3.09

## Properties
energy of formation = -200 meV per atom
uncorrected energy = -19.9 eV/f.u.
magnetic moment = 0.00 μB per cell

***

DFT (GGA-PBE) results for a relaxed SrNpGe2O8 crystal.

a b c (Å): 7.2185 7.2185 6.4368
angles (deg): 90.00 90.00 90.00
Closest atoms and distances in Å follow each position.
Space group I-4m2 (No. 119)
Symmetry-distinct sites (fractional):
Sr  0.0000  0.0000  0.0000 (multiplicity 2)  8 O 2.40-2.59
Np  0.0000  0.5000  0.2500 (multiplicity 2)  8 O 2.24-2.31
Ge  0.0000  0.0000  0.5000 (multiplicity 2)  4 O 1.79
Ge  0.0000  0.5000  0.7500 (multiplicity 2)  4 O 1.77
O  0.0000  0.1996  0.3342 (multiplicity 8)  1 Ge 1.79
O  0.0000  0.3293  0.9470 (multiplicity 8)  1 Ge 1.77

## Properties
uncorrected energy = -88.7 eV/f.u.
energy relative to the elements, uncorrected = -202 kJ/mol of atoms
magnetic moment = 2.00 μB per cell

***

- What is the formula in the fifth record?
  Ce2Pr2Ge3

***

- Look up the uncorrected energy of the eleventh one.
  -19.9 eV/f.u.